No. 1
Entry from Alexandria via LeMat-Bulk: MnZn2Fe5 after structural relaxation (GGA-PBE).

Cell: 2.4712 6.5013 6.5013 Å, 78.89 79.04 79.04°
Site moments in Bohr magnetons follow the coordinates.
Positions (direct):
Fe (0.0000, 0.5000, 0.5000)  2.44
Fe (0.3762, 0.8620, 0.3856)  2.46
Fe (0.6238, 0.1380, 0.6144)  2.46
Fe (0.6238, 0.6144, 0.1380)  2.46
Fe (0.3762, 0.3856, 0.8620)  2.46
Mn (0.0000, 0.0000, 0.0000)  2.58
Zn (0.7442, 0.7558, 0.7558)  -0.07
Zn (0.2558, 0.2442, 0.2442)  -0.07

Values from the calculation:
The symmetry is Immm. The value obtained for the energy of formation from the pure elements is 0.15 eV per atom. The calculation puts the uncorrected energy at -52.80 eV per cell. Its total moment is 14.64 μB per formula unit.

No. 2
Entry from Alexandria via LeMat-Bulk: Dy2LuAl after structural relaxation (GGA-PBE).

Cell: 5.3052 5.3052 5.3052 Å, 60.00 60.00 60.00°
Positions (direct):
Al (0.0000, 0.0000, 0.0000)
Dy (0.7500, 0.7500, 0.7500)
Dy (0.2500, 0.2500, 0.2500)
Lu (0.5000, 0.5000, 0.5000)

Values from the calculation:
Its energy above the most stable polymorph in this dataset is 111 meV per atom. The symmetry is Fm-3m. The value obtained for the energy of formation from the pure elements is -0.08 eV per atom. The calculation puts the uncorrected energy at -17.79 eV per cell. Its total moment is 0.00 μB per formula unit.

No. 3
Entry from Alexandria via LeMat-Bulk: Th3Pd3Rh5 after structural relaxation (GGA-PBE).

Cell: 4.0190 8.3327 8.3327 Å, 120.00 90.00 90.00°
Positions (direct):
Th (0.0000, 0.4182, 0.4182)
Th (0.0000, 0.0000, 0.5818)
Th (0.0000, 0.5818, 0.0000)
Rh (0.5000, 0.6667, 0.3333)
Rh (0.5000, 0.3333, 0.6667)
Rh (0.5000, 0.6321, 0.6321)
Rh (0.5000, 0.0000, 0.3679)
Rh (0.5000, 0.3679, 0.0000)
Pd (0.5000, 0.0000, 0.8145)
Pd (0.5000, 0.1855, 0.1855)
Pd (0.5000, 0.8145, 0.0000)

Values from the calculation:
The symmetry is P-62m. The value obtained for the energy of formation from the pure elements is -0.42 eV per atom. The calculation puts the uncorrected energy at -79.25 eV per cell. Its total moment is 0.00 μB per formula unit.

No. 4
Entry from Alexandria via LeMat-Bulk: Pu2NCl2 after structural relaxation (GGA-PBE).

Cell: 3.6549 7.1406 9.0099 Å, 90.00 101.70 90.00°
Site moments in Bohr magnetons follow the coordinates.
Positions (direct):
Cl (0.9194, 0.6917, 0.8389)  -0.04
Cl (0.7618, 0.3840, 0.5236)  -0.03
Cl (0.0806, 0.1917, 0.1611)  -0.04
Cl (0.2382, 0.8840, 0.4764)  -0.03
Pu (0.1526, 0.5559, 0.3051)  5.19
Pu (0.4779, 0.3978, 0.9557)  5.43
Pu (0.8474, 0.0559, 0.6949)  5.19
Pu (0.5221, 0.8978, 0.0443)  5.43
N (0.5795, 0.6049, 0.1590)  -0.22
N (0.4205, 0.1049, 0.8410)  -0.22

Values from the calculation:
For the raw formation energy, the calculation gives -34.42 kcal/mol of atoms. The symmetry is Cmc2_1. The calculation puts the uncorrected energy at -96.29 eV per cell. Its total moment is 11.00 μB per formula unit.